Entry 1:
# Li2Mn2CoO6 (SCAN, PBEsol geometry)
data_Li2Mn2CoO6
_space_group_name_H-M_alt 'C m c e'
_space_group_IT_number 64
_space_group_name_Hall '-C 2ac 2'
_cell_length_a 8.478
_cell_length_b 4.837
_cell_length_c 10.127
_cell_angle_alpha 90.00
_cell_angle_beta 90.00
_cell_angle_gamma 90.00
loop_
_atom_site_label
_atom_site_type_symbol
_atom_site_fract_x
_atom_site_fract_y
_atom_site_fract_z
_atom_site_occupancy
Li1 Li 0.250 0.077 0.250 1
Mn1 Mn 0.164 0.000 0.000 1
Co1 Co 0.000 0.000 0.500 1
O1 O 0.000 0.170 0.902 1
O2 O 0.179 0.176 0.607 1
# Energy relative to the lowest polymorph listed for this composition: 0.056 eV per atom



Entry 2:
Compound: LiMn2CoO6
Source: Alexandria via LeMat-Bulk
Functional: SCAN
Structure: PBEsol geometry

Structure (CIF):
```
data_LiMn2CoO6
_space_group_name_H-M_alt 'C 1 2/m 1'
_space_group_IT_number 12
_cell_length_a 12.498
_cell_length_b 2.829
_cell_length_c 5.700
_cell_angle_alpha 90.00
_cell_angle_beta 105.78
_cell_angle_gamma 90.00
loop_
_space_group_symop_operation_xyz
'x,y,z'
'-x,-y,-z'
'-x,y,-z'
'x,-y,z'
'x+1/2,y+1/2,z'
'-x+1/2,-y+1/2,-z'
'-x+1/2,y+1/2,-z'
'x+1/2,-y+1/2,z'
loop_
_atom_site_label
_atom_site_type_symbol
_atom_site_fract_x
_atom_site_fract_y
_atom_site_fract_z
_atom_site_occupancy
Li1 Li 0.000 0.000 0.000 1
Mn1 Mn 0.171 0.500 0.813 1
Co1 Co 0.000 0.000 0.500 1
O1 O 0.014 0.500 0.730 1
O2 O 0.158 0.000 0.593 1
O3 O 0.173 0.000 0.046 1
```



Entry 3:
# Li5MnCo2O8 (SCAN, PBEsol geometry)
data_Li5MnCo2O8
_space_group_name_H-M_alt 'P 1 m 1'
_space_group_IT_number 6
_cell_length_a 4.922
_cell_length_b 2.815
_cell_length_c 9.436
_cell_angle_alpha 90.00
_cell_angle_beta 101.18
_cell_angle_gamma 90.00
loop_
_space_group_symop_operation_xyz
'x,y,z'
'x,-y,z'
loop_
_atom_site_label
_atom_site_type_symbol
_atom_site_fract_x
_atom_site_fract_y
_atom_site_fract_z
_atom_site_occupancy
Li1 Li 0.000 0.000 0.000 1
Li2 Li 0.003 0.500 0.494 1
Li3 Li 0.249 0.500 0.252 1
Li4 Li 0.509 0.000 0.495 1
Li5 Li 0.757 0.500 0.743 1
Mn1 Mn 0.243 0.000 0.741 1
Co1 Co 0.504 0.500 0.999 1
Co2 Co 0.758 0.000 0.253 1
O1 O 0.103 0.000 0.360 1
O2 O 0.156 0.500 0.869 1
O3 O 0.370 0.500 0.638 1
O4 O 0.411 0.000 0.114 1
O5 O 0.603 0.000 0.883 1
O6 O 0.640 0.500 0.356 1
O7 O 0.845 0.500 0.129 1
O8 O 0.903 0.000 0.635 1
# Energy relative to the lowest polymorph listed for this composition: 0.018 eV per atom



Entry 4:
Compound: Li3MnCo4O8
Source: Alexandria via LeMat-Bulk
Functional: SCAN
Structure: PBEsol geometry

Structure (CIF):
```
data_Li3MnCo4O8
_space_group_name_H-M_alt 'C 1 2/m 1'
_space_group_IT_number 12
_cell_length_a 9.807
_cell_length_b 5.738
_cell_length_c 5.681
_cell_angle_alpha 90.00
_cell_angle_beta 124.64
_cell_angle_gamma 90.00
loop_
_space_group_symop_operation_xyz
'x,y,z'
'-x,-y,-z'
'-x,y,-z'
'x,-y,z'
'x+1/2,y+1/2,z'
'-x+1/2,-y+1/2,-z'
'-x+1/2,y+1/2,-z'
'x+1/2,-y+1/2,z'
loop_
_atom_site_label
_atom_site_type_symbol
_atom_site_fract_x
_atom_site_fract_y
_atom_site_fract_z
_atom_site_occupancy
Li1 Li 0.000 0.000 0.000 1
Li2 Li 0.250 0.250 0.000 1
Mn1 Mn 0.000 0.500 0.500 1
Co1 Co 0.000 0.000 0.500 1
Co2 Co 0.000 0.500 0.000 1
Co3 Co 0.250 0.250 0.500 1
O1 O 0.012 0.264 0.270 1
O2 O 0.238 0.500 0.722 1
O3 O 0.243 0.000 0.717 1
```



Entry 5:
Compound: Li5Mn2Co3O10
Source: Alexandria via LeMat-Bulk
Functional: SCAN
Structure: PBEsol geometry

Structure (CIF):
```
data_Li5Mn2Co3O10
_space_group_name_H-M_alt 'P -1'
_space_group_IT_number 2
_cell_length_a 4.941
_cell_length_b 4.983
_cell_length_c 7.423
_cell_angle_alpha 109.45
_cell_angle_beta 102.31
_cell_angle_gamma 99.84
loop_
_space_group_symop_operation_xyz
'x,y,z'
'-x,-y,-z'
loop_
_atom_site_label
_atom_site_type_symbol
_atom_site_fract_x
_atom_site_fract_y
_atom_site_fract_z
_atom_site_occupancy
Li1 Li 0.000 0.000 0.000 1
Li2 Li 0.097 0.201 0.710 1
Li3 Li 0.283 0.588 0.092 1
Mn1 Mn 0.399 0.801 0.802 1
Co1 Co 0.197 0.399 0.397 1
Co2 Co 0.500 0.000 0.500 1
O1 O 0.060 0.609 0.836 1
O2 O 0.147 0.775 0.554 1
O3 O 0.267 0.033 0.263 1
O4 O 0.372 0.184 0.954 1
O5 O 0.455 0.420 0.642 1
```



Entry 6:
# Li7Mn4CoO12 (SCAN, PBEsol geometry)
data_Li7Mn4CoO12
_space_group_name_H-M_alt 'P 1 2 1'
_space_group_IT_number 3
_cell_length_a 4.888
_cell_length_b 8.473
_cell_length_c 4.985
_cell_angle_alpha 90.00
_cell_angle_beta 109.03
_cell_angle_gamma 90.00
loop_
_space_group_symop_operation_xyz
'x,y,z'
'-x,y,-z'
loop_
_atom_site_label
_atom_site_type_symbol
_atom_site_fract_x
_atom_site_fract_y
_atom_site_fract_z
_atom_site_occupancy
Li1 Li 0.000 0.000 0.000 1
Li2 Li 0.000 0.159 0.500 1
Li3 Li 0.000 0.320 0.000 1
Li4 Li 0.000 0.666 0.000 1
Li5 Li 0.500 0.158 0.000 1
Li6 Li 0.500 0.494 0.000 1
Li7 Li 0.500 0.833 0.000 1
Mn1 Mn 0.000 0.495 0.500 1
Mn2 Mn 0.500 0.322 0.500 1
Mn3 Mn 0.500 0.662 0.500 1
Mn4 Mn 0.500 0.996 0.500 1
Co1 Co 0.000 0.831 0.500 1
O1 O 0.241 0.665 0.723 1
O2 O 0.246 0.343 0.726 1
O3 O 0.254 0.985 0.724 1
O4 O 0.255 0.828 0.280 1
O5 O 0.260 0.496 0.276 1
O6 O 0.278 0.161 0.268 1
# Energy relative to the lowest polymorph listed for this composition: 0.008 eV per atom



Entry 7:
# Li5MnCo2O8 (SCAN, PBEsol geometry)
data_Li5MnCo2O8
_space_group_name_H-M_alt 'C 1 2/m 1'
_space_group_IT_number 12
_cell_length_a 9.537
_cell_length_b 2.796
_cell_length_c 9.822
_cell_angle_alpha 90.00
_cell_angle_beta 100.18
_cell_angle_gamma 90.00
loop_
_space_group_symop_operation_xyz
'x,y,z'
'-x,-y,-z'
'-x,y,-z'
'x,-y,z'
'x+1/2,y+1/2,z'
'-x+1/2,-y+1/2,-z'
'-x+1/2,y+1/2,-z'
'x+1/2,-y+1/2,z'
loop_
_atom_site_label
_atom_site_type_symbol
_atom_site_fract_x
_atom_site_fract_y
_atom_site_fract_z
_atom_site_occupancy
Li1 Li 0.000 0.000 0.000 1
Li2 Li 0.239 0.500 0.110 1
Li3 Li 0.247 0.000 0.365 1
Mn1 Mn 0.000 0.000 0.500 1
Co1 Co 0.004 0.500 0.757 1
O1 O 0.105 0.000 0.196 1
O2 O 0.110 0.500 0.438 1
O3 O 0.111 0.000 0.680 1
O4 O 0.122 0.500 0.920 1
# Energy relative to the lowest polymorph listed for this composition: 0.064 eV per atom



Entry 8:
Compound: Li6Mn3CoO10
Source: Alexandria via LeMat-Bulk
Functional: SCAN
Structure: PBEsol geometry

Structure (CIF):
```
data_Li6Mn3CoO10
_space_group_name_H-M_alt 'C 1 2 1'
_space_group_IT_number 5
_cell_length_a 4.874
_cell_length_b 14.088
_cell_length_c 4.976
_cell_angle_alpha 90.00
_cell_angle_beta 108.92
_cell_angle_gamma 90.00
loop_
_space_group_symop_operation_xyz
'x,y,z'
'-x,y,-z'
'x+1/2,y+1/2,z'
'-x+1/2,y+1/2,-z'
loop_
_atom_site_label
_atom_site_type_symbol
_atom_site_fract_x
_atom_site_fract_y
_atom_site_fract_z
_atom_site_occupancy
Li1 Li 0.000 0.000 0.000 1
Li2 Li 0.000 0.094 0.500 1
Li3 Li 0.000 0.190 0.000 1
Li4 Li 0.000 0.399 0.000 1
Li5 Li 0.000 0.596 0.000 1
Li6 Li 0.000 0.797 0.000 1
Mn1 Mn 0.000 0.296 0.500 1
Mn2 Mn 0.000 0.500 0.500 1
Mn3 Mn 0.000 0.694 0.500 1
Co1 Co 0.000 0.897 0.500 1
O1 O 0.225 0.597 0.734 1
O2 O 0.242 0.397 0.720 1
O3 O 0.242 0.796 0.719 1
O4 O 0.247 0.490 0.277 1
O5 O 0.250 0.204 0.725 1
```



Entry 9:
# Li7Mn4CoO12 (SCAN, PBEsol geometry)
data_Li7Mn4CoO12
_space_group_name_H-M_alt 'P -1'
_space_group_IT_number 2
_cell_length_a 4.980
_cell_length_b 5.607
_cell_length_c 7.469
_cell_angle_alpha 100.75
_cell_angle_beta 96.43
_cell_angle_gamma 106.46
loop_
_space_group_symop_operation_xyz
'x,y,z'
'-x,-y,-z'
loop_
_atom_site_label
_atom_site_type_symbol
_atom_site_fract_x
_atom_site_fract_y
_atom_site_fract_z
_atom_site_occupancy
Li1 Li 0.000 0.000 0.000 1
Li2 Li 0.489 0.408 0.156 1
Li3 Li 0.493 0.917 0.155 1
Li4 Li 0.499 0.252 0.499 1
Mn1 Mn 0.004 0.165 0.672 1
Mn2 Mn 0.006 0.672 0.674 1
Co1 Co 0.000 0.500 0.000 1
O1 O 0.220 0.618 0.245 1
O2 O 0.221 0.450 0.576 1
O3 O 0.226 0.295 0.903 1
O4 O 0.226 0.950 0.581 1
O5 O 0.229 0.773 0.906 1
O6 O 0.230 0.123 0.261 1
# Energy relative to the lowest polymorph listed for this composition: 0.007 eV per atom



Entry 10:
Compound: Li5Mn5Co2O12
Source: Alexandria via LeMat-Bulk
Functional: SCAN
Structure: PBEsol geometry

Structure (CIF):
```
data_Li5Mn5Co2O12
_space_group_name_H-M_alt 'C 1 2 1'
_space_group_IT_number 5
_cell_length_a 5.000
_cell_length_b 8.663
_cell_length_c 9.607
_cell_angle_alpha 90.00
_cell_angle_beta 99.68
_cell_angle_gamma 90.00
loop_
_space_group_symop_operation_xyz
'x,y,z'
'-x,y,-z'
'x+1/2,y+1/2,z'
'-x+1/2,y+1/2,-z'
loop_
_atom_site_label
_atom_site_type_symbol
_atom_site_fract_x
_atom_site_fract_y
_atom_site_fract_z
_atom_site_occupancy
Li1 Li 0.000 0.000 0.000 1
Li2 Li 0.247 0.006 0.758 1
Li3 Li 0.250 0.334 0.757 1
Mn1 Mn 0.000 0.337 0.000 1
Mn2 Mn 0.000 0.501 0.500 1
Mn3 Mn 0.000 0.843 0.500 1
Mn4 Mn 0.249 0.166 0.245 1
Co1 Co 0.000 0.167 0.500 1
Co2 Co 0.000 0.666 0.000 1
O1 O 0.103 0.176 0.874 1
O2 O 0.105 0.664 0.374 1
O3 O 0.113 0.502 0.886 1
O4 O 0.136 0.344 0.381 1
O5 O 0.139 0.822 0.886 1
O6 O 0.140 0.001 0.371 1
```



Entry 11:
Compound: Li7Mn3Co3O16
Source: Alexandria via LeMat-Bulk
Functional: SCAN
Structure: PBEsol geometry

Structure (CIF):
```
data_Li7Mn3Co3O16
_space_group_name_H-M_alt 'C 1 m 1'
_space_group_IT_number 8
_cell_length_a 9.596
_cell_length_b 5.581
_cell_length_c 9.737
_cell_angle_alpha 90.00
_cell_angle_beta 91.37
_cell_angle_gamma 90.00
loop_
_space_group_symop_operation_xyz
'x,y,z'
'x,-y,z'
'x+1/2,y+1/2,z'
'x+1/2,-y+1/2,z'
loop_
_atom_site_label
_atom_site_type_symbol
_atom_site_fract_x
_atom_site_fract_y
_atom_site_fract_z
_atom_site_occupancy
Li1 Li 0.000 0.000 0.000 1
Li2 Li 0.001 0.000 0.456 1
Li3 Li 0.007 0.000 0.222 1
Li4 Li 0.171 0.500 0.928 1
Li5 Li 0.256 0.240 0.472 1
Li6 Li 0.336 0.000 0.920 1
Mn1 Mn 0.009 0.500 0.221 1
Mn2 Mn 0.081 0.251 0.702 1
Co1 Co 0.258 0.248 0.212 1
Co2 Co 0.332 0.500 0.707 1
O1 O 0.003 0.000 0.808 1
O2 O 0.011 0.500 0.807 1
O3 O 0.101 0.259 0.320 1
O4 O 0.155 0.000 0.594 1
O5 O 0.166 0.500 0.598 1
O6 O 0.172 0.500 0.115 1
O7 O 0.182 0.000 0.109 1
O8 O 0.245 0.265 0.808 1
O9 O 0.333 0.500 0.320 1
O10 O 0.340 0.000 0.319 1
O11 O 0.418 0.237 0.111 1
O12 O 0.419 0.276 0.600 1
```



Entry 12:
# Li4MnCo2O7 (SCAN, PBEsol geometry)
data_Li4MnCo2O7
_space_group_name_H-M_alt 'P 1'
_space_group_IT_number 1
_cell_length_a 4.873
_cell_length_b 6.334
_cell_length_c 7.490
_cell_angle_alpha 86.17
_cell_angle_beta 77.37
_cell_angle_gamma 82.78
loop_
_space_group_symop_operation_xyz
'x,y,z'
loop_
_atom_site_label
_atom_site_type_symbol
_atom_site_fract_x
_atom_site_fract_y
_atom_site_fract_z
_atom_site_occupancy
Li1 Li 0.000 0.000 0.000 1
Li2 Li 0.068 0.862 0.335 1
Li3 Li 0.137 0.719 0.696 1
Li4 Li 0.272 0.455 0.402 1
Li5 Li 0.412 0.143 0.128 1
Li6 Li 0.564 0.860 0.850 1
Li7 Li 0.720 0.588 0.544 1
Li8 Li 0.854 0.300 0.264 1
Mn1 Mn 0.497 0.004 0.477 1
Mn2 Mn 0.923 0.151 0.627 1
Co1 Co 0.207 0.582 0.057 1
Co2 Co 0.351 0.294 0.769 1
Co3 Co 0.635 0.727 0.200 1
Co4 Co 0.778 0.439 0.914 1
O1 O 0.028 0.422 0.677 1
O2 O 0.103 0.314 0.001 1
O3 O 0.175 0.151 0.398 1
O4 O 0.239 0.023 0.721 1
O5 O 0.325 0.847 0.093 1
O6 O 0.405 0.739 0.444 1
O7 O 0.457 0.556 0.820 1
O8 O 0.531 0.462 0.146 1
O9 O 0.605 0.278 0.532 1
O10 O 0.673 0.171 0.864 1
O11 O 0.721 0.004 0.246 1
O12 O 0.802 0.890 0.593 1
O13 O 0.884 0.702 0.966 1
O14 O 0.953 0.587 0.288 1
# Energy relative to the lowest polymorph listed for this composition: 0.013 eV per atom



Entry 13:
# Li2Mn3CoO8 (SCAN, PBEsol geometry)
data_Li2Mn3CoO8
_space_group_name_H-M_alt 'P 43 3 2'
_space_group_IT_number 212
_space_group_name_Hall 'P 4acd 2ab 3'
_cell_length_a 8.031
_cell_length_b 8.031
_cell_length_c 8.031
_cell_angle_alpha 90.00
_cell_angle_beta 90.00
_cell_angle_gamma 90.00
loop_
_atom_site_label
_atom_site_type_symbol
_atom_site_fract_x
_atom_site_fract_y
_atom_site_fract_z
_atom_site_occupancy
Li1 Li 0.003 0.003 0.003 1
Mn1 Mn 0.124 0.126 0.625 1
Co1 Co 0.125 0.875 0.375 1
O1 O 0.110 0.111 0.388 1
O2 O 0.114 0.614 0.886 1
# Energy relative to the lowest polymorph listed for this composition: 0.000 eV per atom



Entry 14:
Compound: Li6Mn3CoO10
Source: Alexandria via LeMat-Bulk
Functional: SCAN
Structure: PBEsol geometry

Structure (CIF):
```
data_Li6Mn3CoO10
_space_group_name_H-M_alt 'P 1'
_space_group_IT_number 1
_cell_length_a 4.874
_cell_length_b 5.717
_cell_length_c 6.363
_cell_angle_alpha 104.16
_cell_angle_beta 97.22
_cell_angle_gamma 106.62
loop_
_space_group_symop_operation_xyz
'x,y,z'
loop_
_atom_site_label
_atom_site_type_symbol
_atom_site_fract_x
_atom_site_fract_y
_atom_site_fract_z
_atom_site_occupancy
Li1 Li 0.000 0.000 0.000 1
Li2 Li 0.005 0.494 0.002 1
Li3 Li 0.199 0.398 0.400 1
Li4 Li 0.401 0.796 0.812 1
Li5 Li 0.616 0.202 0.202 1
Li6 Li 0.816 0.593 0.615 1
Mn1 Mn 0.206 0.897 0.404 1
Mn2 Mn 0.410 0.304 0.812 1
Mn3 Mn 0.604 0.692 0.200 1
Co1 Co 0.808 0.099 0.607 1
O1 O 0.108 0.965 0.695 1
O2 O 0.111 0.420 0.703 1
O3 O 0.319 0.846 0.129 1
O4 O 0.328 0.359 0.100 1
O5 O 0.506 0.230 0.519 1
O6 O 0.507 0.766 0.491 1
O7 O 0.686 0.638 0.912 1
O8 O 0.691 0.151 0.883 1
O9 O 0.905 0.029 0.316 1
O10 O 0.906 0.575 0.310 1
```



| no. | uncorrected energy (eV for the cell shown) | E_form (uncorrected) (eV per atom) |
| --- | --- | --- |
| 1 | -472.11 | -2.00 |
| 2 | -227.23 | -2.00 |
| 3 | -146.39 | -1.98 |
| 4 | -343.95 | -1.72 |
| 5 | -202.14 | -1.97 |
| 6 | -234.49 | -2.19 |
| 7 | -291.28 | -1.94 |
| 8 | -385.64 | -2.20 |
| 9 | -234.50 | -2.19 |
| 10 | -522.87 | -2.03 |
| 11 | -554.18 | -1.86 |
| 12 | -269.46 | -2.05 |
| 13 | -627.21 | -2.15 |
| 14 | -192.80 | -2.20 |